This record from Alexandria via LeMat-Bulk describes Li7Fe3CoP6O24 after structural relaxation. The functional is PBE with a Hubbard U.

calculated total energy = -6.681 eV/atom
density of states at the Fermi level = 0.00 states/eV per atom
ρ = 3.0 g/cm3
crystal system = trigonal

Lattice parameters (Å, degrees): 9.048 9.048 9.048 55.62 55.62 55.62
Fractional coordinates of all 41 atoms:
Li 0.000 0.000 0.000
Li 0.124 0.753 0.373
Li 0.284 0.600 0.869
Li 0.373 0.124 0.753
Li 0.600 0.869 0.284
Li 0.753 0.373 0.124
Li 0.869 0.284 0.600
Fe 0.181 0.181 0.181
Fe 0.688 0.688 0.688
Fe 0.882 0.882 0.882
Co 0.381 0.381 0.381
P 0.072 0.489 0.789
P 0.285 0.992 0.583
P 0.489 0.789 0.072
P 0.583 0.285 0.992
P 0.789 0.072 0.489
P 0.992 0.583 0.285
O 0.028 0.420 0.244
O 0.053 0.634 0.848
O 0.154 0.892 0.786
O 0.168 0.283 0.916
O 0.178 0.589 0.247
O 0.199 0.525 0.578
O 0.244 0.028 0.420
O 0.247 0.178 0.589
O 0.283 0.916 0.168
O 0.420 0.244 0.028
O 0.498 0.851 0.551
O 0.509 0.839 0.868
O 0.525 0.578 0.199
O 0.551 0.498 0.851
O 0.578 0.199 0.525
O 0.589 0.247 0.178
O 0.634 0.848 0.053
O 0.786 0.154 0.892
O 0.839 0.868 0.509
O 0.848 0.053 0.634
O 0.851 0.551 0.498
O 0.868 0.509 0.839
O 0.892 0.786 0.154
O 0.916 0.168 0.283